No. 1
# Li7Si2 PBE-GGA relaxed
# * magnetization: 0.00 μB/atom
# * formation energy without anion corrections: -208 meV per atom
data_Li7Si2
_chemical_formula_sum 'Li28 Si8'
_cell_length_a 4.4692
_cell_length_b 8.0411
_cell_length_c 14.9069
_cell_angle_alpha 90.00
_cell_angle_beta 90.00
_cell_angle_gamma 90.00
_symmetry_space_group_name_H-M 'P 1'
_symmetry_Int_Tables_number 1
loop_
_symmetry_equiv_pos_as_xyz
'x,y,z'
loop_
_atom_site_label
_atom_site_type_symbol
_atom_site_fract_x
_atom_site_fract_y
_atom_site_fract_z
_atom_site_occupancy
Si1 Si 0.0000 0.5588 0.1533 1
Si2 Si 0.0000 0.4412 0.8467 1
Si3 Si 0.5000 0.8996 0.9353 1
Si4 Si 0.5000 0.6004 0.4353 1
Si5 Si 0.5000 0.3996 0.5647 1
Si6 Si 0.0000 0.9412 0.6533 1
Si7 Si 0.5000 0.1004 0.0647 1
Si8 Si 0.0000 0.0588 0.3467 1
Li1 Li 0.0000 0.1744 0.5132 1
Li2 Li 0.5000 0.1202 0.6440 1
Li3 Li 0.5000 0.9129 0.7571 1
Li4 Li 0.0000 0.6744 0.9868 1
Li5 Li 0.5000 0.4129 0.7429 1
Li6 Li 0.5000 0.8798 0.3560 1
Li7 Li 0.5000 0.2336 0.8984 1
Li8 Li 0.5000 0.7664 0.1016 1
Li9 Li 0.5000 0.7336 0.6016 1
Li10 Li 0.0000 0.7965 0.8336 1
Li11 Li 0.0000 0.7035 0.3336 1
Li12 Li 0.5000 0.5871 0.2571 1
Li13 Li 0.0000 0.6142 0.6879 1
Li14 Li 0.0000 0.3256 0.0132 1
Li15 Li 0.5000 0.3798 0.1440 1
Li16 Li 0.0000 0.0000 0.0000 1
Li17 Li 0.5000 0.0000 0.5000 1
Li18 Li 0.0000 0.5000 0.5000 1
Li19 Li 0.0000 0.2965 0.6664 1
Li20 Li 0.0000 0.1142 0.8121 1
Li21 Li 0.5000 0.5000 0.0000 1
Li22 Li 0.5000 0.2664 0.3984 1
Li23 Li 0.5000 0.6202 0.8560 1
Li24 Li 0.5000 0.0871 0.2429 1
Li25 Li 0.0000 0.2035 0.1664 1
Li26 Li 0.0000 0.8256 0.4868 1
Li27 Li 0.0000 0.3858 0.3121 1
Li28 Li 0.0000 0.8858 0.1879 1

No. 2
# LiSi3 PBE-GGA relaxed
# * magnetization: 0.00 μB/atom
# * formation energy without anion corrections: 205 meV per atom
# * energy relative to the lowest polymorph listed for this composition: 0.170 eV per atom
data_LiSi3
_chemical_formula_sum 'Li1 Si3'
_cell_length_a 2.7839
_cell_length_b 4.4481
_cell_length_c 4.5793
_cell_angle_alpha 90.00
_cell_angle_beta 90.00
_cell_angle_gamma 90.00
_symmetry_space_group_name_H-M 'P 1'
_symmetry_Int_Tables_number 1
loop_
_symmetry_equiv_pos_as_xyz
'x,y,z'
loop_
_atom_site_label
_atom_site_type_symbol
_atom_site_fract_x
_atom_site_fract_y
_atom_site_fract_z
_atom_site_occupancy
Li1 Li 0.0000 0.0000 0.0127 1
Si1 Si 0.5000 0.0000 0.5140 1
Si2 Si 0.0000 0.5000 0.3255 1
Si3 Si 0.5000 0.5000 0.8144 1

No. 3
# Li5Si PBE-GGA relaxed
# * magnetization: 0.00 μB/atom
# * formation energy without anion corrections: -93 meV per atom
# * energy relative to the lowest polymorph listed for this composition: 0.071 eV per atom
data_Li5Si
_chemical_formula_sum 'Li5 Si1'
_cell_length_a 6.9081
_cell_length_b 6.9081
_cell_length_c 4.4243
_cell_angle_alpha 90.00
_cell_angle_beta 90.00
_cell_angle_gamma 152.91
_symmetry_space_group_name_H-M 'P 1'
_symmetry_Int_Tables_number 1
loop_
_symmetry_equiv_pos_as_xyz
'x,y,z'
loop_
_atom_site_label
_atom_site_type_symbol
_atom_site_fract_x
_atom_site_fract_y
_atom_site_fract_z
_atom_site_occupancy
Li1 Li 0.7951 0.2049 0.5000 1
Li2 Li 0.2952 0.7048 0.0000 1
Li3 Li 0.4822 0.5178 0.5000 1
Li4 Li 0.6390 0.3610 0.0000 1
Li5 Li 0.9832 0.0168 0.0000 1
Si1 Si 0.1386 0.8614 0.5000 1

Question: Among the records above, which one has the highest formation energy without anion corrections?
Answer: LiSi3